Entry from Alexandria via LeMat-Bulk: an optimized crystal structure of CrFeBr3 (PBE).

```
CrFeBr3
1.0
5.106 0.000 0.000
0.000 5.106 0.000
0.000 0.000 5.106
Cr Fe Br
1 1 3
Direct
0.000 0.000 0.000
0.500 0.500 0.500
0.000 0.500 0.500
0.500 0.000 0.500
0.500 0.500 0.000
```

Calculated values
formation energy (no corrections) = 3.73 kcal/mol of atoms
total moment = 1.0 μB/f.u.
crystal system = cubic
energy relative to the lowest polymorph listed for this composition = 0.000 eV/atom

=====

Entry from Alexandria via LeMat-Bulk: an optimized crystal structure of Zn2CrSi (PBE).

```
Zn2CrSi
1.0
9.945 0.000 0.000
0.000 2.562 0.000
-0.514 0.000 4.282
Zn Cr Si
4 2 2
Direct
0.231 0.000 0.241
0.269 0.500 0.759
0.731 0.500 0.241
0.769 0.000 0.759
0.000 0.500 0.000
0.500 0.000 0.000
0.000 0.000 0.500
0.500 0.500 0.500
```

Calculated values
formation energy (no corrections) = 2.19 kcal/mol of atoms
total moment = 0.5 μB/f.u.
crystal system = monoclinic

=====

Entry from Alexandria via LeMat-Bulk: an optimized crystal structure of PmDyGa2Ni2 (PBE).

```
PmDyGa2Ni2
1.0
4.310 0.000 0.000
-2.155 3.733 0.000
0.000 0.000 7.162
Pm Dy Ga Ni
1 1 2 2
Direct
0.000 0.000 0.000
0.000 0.000 0.500
0.333 0.667 0.264
0.667 0.333 0.736
0.333 0.667 0.733
0.667 0.333 0.267
```

Calculated values
total moment = 0.0 μB/f.u.
crystal system = trigonal
raw total energy = -30.448 eV/f.u.

=====

Entry from Alexandria via LeMat-Bulk: an optimized crystal structure of TmCdCu (PBE).

```
TmCdCu
1.0
12.958 0.000 0.000
0.000 3.808 0.000
0.000 0.000 7.502
Tm Cd Cu
6 6 6
Direct
0.045 0.000 0.228
0.250 0.000 0.846
0.455 0.000 0.228
0.545 0.000 0.772
0.750 0.000 0.154
0.955 0.000 0.772
0.116 0.500 0.568
0.250 0.500 0.193
0.384 0.500 0.568
0.616 0.500 0.432
0.750 0.500 0.807
0.884 0.500 0.432
0.091 0.500 0.943
0.250 0.000 0.449
0.409 0.500 0.943
0.591 0.500 0.057
0.750 0.000 0.551
0.909 0.500 0.057
```

Calculated values
total moment = 0.0 μB/f.u.
crystal system = orthorhombic
raw total energy = -10.386 eV/f.u.

=====

Entry from Alexandria via LeMat-Bulk: an optimized crystal structure of MnGaAu4 (PBE).

```
MnGaAu4
1.0
1.610 -9.254 0.000
1.610 9.254 0.000
0.000 0.000 7.341
Mn Ga Au
2 2 8
Direct
0.182 0.818 0.500
0.818 0.182 0.000
0.433 0.567 0.548
0.567 0.433 0.048
0.051 0.949 0.746
0.307 0.693 0.696
0.316 0.684 0.305
0.434 0.566 0.917
0.566 0.434 0.417
0.684 0.316 0.805
0.693 0.307 0.196
0.949 0.051 0.246
```

Calculated values
total moment = 4.3 μB/f.u.
crystal system = orthorhombic
energy relative to the lowest polymorph listed for this composition = 0.035 eV/atom

=====

Entry from Alexandria via LeMat-Bulk: an optimized crystal structure of NaGaAgBr5 (PBE).

```
NaGaAgBr5
1.0
5.433 -5.576 0.000
5.433 5.576 0.000
-5.018 0.000 9.313
Na Ga Ag Br
2 2 2 10
Direct
0.000 0.000 0.000
0.000 0.000 0.500
0.348 0.652 0.750
0.652 0.348 0.250
0.333 0.667 0.250
0.667 0.333 0.750
0.105 0.895 0.250
0.112 0.647 0.841
0.323 0.356 0.572
0.353 0.888 0.659
0.356 0.323 0.072
0.644 0.677 0.928
0.647 0.112 0.341
0.677 0.644 0.428
0.888 0.353 0.159
0.895 0.105 0.750
```

Calculated values
formation energy (no corrections) = -20.05 kcal/mol of atoms
total moment = 0.0 μB/f.u.
crystal system = monoclinic

=====

Entry from Alexandria via LeMat-Bulk: an optimized crystal structure of AcCePrPu (PBE).

```
AcCePrPu
1.0
8.196 0.000 0.000
0.000 8.196 0.000
0.000 0.000 8.196
Ac Ce Pr Pu
4 4 4 4
Direct
0.000 0.000 0.000
0.000 0.500 0.500
0.500 0.000 0.500
0.500 0.500 0.000
0.250 0.250 0.750
0.250 0.750 0.250
0.750 0.250 0.250
0.750 0.750 0.750
0.250 0.250 0.250
0.250 0.750 0.750
0.750 0.250 0.750
0.750 0.750 0.250
0.000 0.000 0.500
0.000 0.500 0.000
0.500 0.000 0.000
0.500 0.500 0.500
```

Calculated values
total moment = 8.6 μB/f.u.
crystal system = cubic
raw total energy = -28.025 eV/f.u.

=====

Entry from Alexandria via LeMat-Bulk: an optimized crystal structure of YSbSe2 (PBE).

```
YSbSe2
1.0
3.622 0.000 0.000
0.000 3.622 0.000
0.000 0.000 7.300
Y Sb Se
1 1 2
Direct
0.000 0.000 0.000
0.000 0.000 0.500
0.500 0.500 0.213
0.500 0.500 0.787
```

Calculated values
formation energy (no corrections) = -19.11 kcal/mol of atoms
total moment = 0.0 μB/f.u.
crystal system = tetragonal

=====

Entry from Alexandria via LeMat-Bulk: an optimized crystal structure of ZrGaFeNi (PBE).

```
ZrGaFeNi
1.0
6.106 0.000 0.000
0.000 6.106 0.000
0.000 0.000 6.106
Zr Ga Fe Ni
4 4 4 4
Direct
0.000 0.000 0.000
0.000 0.500 0.500
0.500 0.000 0.500
0.500 0.500 0.000
0.000 0.000 0.500
0.000 0.500 0.000
0.500 0.000 0.000
0.500 0.500 0.500
0.250 0.250 0.250
0.250 0.750 0.750
0.750 0.250 0.750
0.750 0.750 0.250
0.250 0.250 0.750
0.250 0.750 0.250
0.750 0.250 0.250
0.750 0.750 0.750
```

Calculated values
total moment = 0.9 μB/f.u.
crystal system = cubic
raw total energy = -27.161 eV/f.u.

=====

Entry from Alexandria via LeMat-Bulk: an optimized crystal structure of MgSi2Rh (PBE).

```
MgSi2Rh
1.0
4.030 0.000 0.000
0.000 4.030 0.000
0.000 0.000 7.264
Mg Si Rh
2 4 2
Direct
0.000 0.000 0.000
0.500 0.500 0.500
0.000 0.500 0.250
0.000 0.500 0.750
0.500 0.000 0.250
0.500 0.000 0.750
0.000 0.000 0.500
0.500 0.500 0.000
```

Calculated values
formation energy (no corrections) = -3.92 kcal/mol of atoms
total moment = 0.0 μB/f.u.
crystal system = tetragonal

=====

Entry from Alexandria via LeMat-Bulk: an optimized crystal structure of Pu2PaPb (PBE).

```
Pu2PaPb
1.0
3.985 0.000 0.000
0.000 3.985 0.000
0.000 0.000 6.562
Pu Pa Pb
2 1 1
Direct
0.000 0.000 0.250
0.000 0.000 0.750
0.500 0.500 0.000
0.500 0.500 0.500
```

Calculated values
total moment = 12.3 μB/f.u.
crystal system = tetragonal
energy relative to the lowest polymorph listed for this composition = 0.046 eV/atom

=====

Entry from Alexandria via LeMat-Bulk: an optimized crystal structure of Sr2Al4In3Ag (PBE).

```
Sr2Al4In3Ag
1.0
4.562 0.000 0.000
0.000 4.562 0.000
0.000 0.000 11.824
Sr Al In Ag
2 4 3 1
Direct
0.000 0.500 0.245
0.500 0.000 0.755
0.000 0.000 0.500
0.000 0.500 0.870
0.500 0.000 0.130
0.500 0.500 0.500
0.000 0.000 0.000
0.000 0.500 0.641
0.500 0.000 0.359
0.500 0.500 0.000
```

Calculated values
total moment = 0.0 μB/f.u.
crystal system = tetragonal
raw total energy = -31.745 eV/f.u.